*a*
This record from Alexandria via LeMat-Bulk describes a geometry-optimized Dy2PtCl structure. The functional is PBE-GGA.

Lattice parameters (Å, degrees): 4.2294 4.2294 8.4824 75.56 75.56 60.00
With the nearest neighbours (Å) after each atom.
Sites, in units of the cell vectors:
Dy (0.1094, 0.1094, 0.6717)  1 Cl 2.67, 3 Pt 2.81
Dy (0.8906, 0.8906, 0.3283)  1 Cl 2.67, 3 Pt 2.81
Pt (0.5000, 0.5000, 0.5000)  6 Dy 2.81
Cl (0.0000, 0.0000, 0.0000)  2 Dy 2.67

*b*
This record from Alexandria via LeMat-Bulk describes a geometry-optimized Dy2PtCl structure. The functional is PBE-GGA.

Lattice parameters (Å, degrees): 4.0466 4.0466 7.8888 75.14 75.14 60.00
With the nearest neighbours (Å) after each atom.
Sites, in units of the cell vectors:
Dy (0.2691, 0.2691, 0.1928)  3 Pt 2.77
Dy (0.0681, 0.0681, 0.7958)  3 Pt 2.78
Pt (0.6680, 0.6680, 0.9961)  6 Dy 2.77-2.78
Cl (0.4949, 0.4949, 0.5153)  6 Dy 3.15-3.37

Quick one: least stable of them? *b*

*a*
This record from Alexandria via LeMat-Bulk describes a geometry-optimized DyPuCl6 structure. The functional is PBE-GGA.

Lattice parameters (Å, degrees): 6.7583 6.7583 7.4129 62.88 62.88 60.01
With the nearest neighbours (Å) after each atom.
Sites, in units of the cell vectors:
Cl (0.8927, 0.5995, 0.2565)  1 Dy 2.66, 1 Pu 2.73
Cl (0.7488, 0.1074, 0.7434)  1 Dy 2.66, 1 Pu 2.74
Cl (0.2512, 0.8926, 0.2566)  1 Dy 2.66, 1 Pu 2.74
Cl (0.4004, 0.7489, 0.7434)  1 Dy 2.66, 1 Pu 2.74
Cl (0.1073, 0.4005, 0.7435)  1 Dy 2.66, 1 Pu 2.73
Cl (0.5996, 0.2511, 0.2566)  1 Dy 2.66, 1 Pu 2.74
Dy (0.5000, 0.5000, 0.5000)  6 Cl 2.66
Pu (0.0000, 0.0000, 0.0000)  6 Cl 2.73-2.74

*b*
This record from Alexandria via LeMat-Bulk describes a geometry-optimized DyPuCl6 structure. The functional is PBE-GGA.

Lattice parameters (Å, degrees): 7.0340 7.0340 6.7094 97.46 97.46 122.29
With the nearest neighbours (Å) after each atom.
Sites, in units of the cell vectors:
Dy (0.5000, 0.5000, 0.5000)  6 Cl 2.65-2.66
Cl (0.4017, 0.1151, 0.2540)  1 Dy 2.66, 1 Pu 2.74
Cl (0.5983, 0.8849, 0.7460)  1 Dy 2.66, 1 Pu 2.74
Cl (0.1151, 0.4017, 0.2540)  1 Dy 2.66, 1 Pu 2.74
Cl (0.8849, 0.5983, 0.7460)  1 Dy 2.66, 1 Pu 2.74
Cl (0.2529, 0.2529, 0.7456)  1 Dy 2.65, 1 Pu 2.73
Cl (0.7471, 0.7471, 0.2544)  1 Dy 2.65, 1 Pu 2.73
Pu (0.0000, 0.0000, 0.0000)  6 Cl 2.73-2.74

Quick one: least stable of them? *a*